# 1
## CuPd14Au (PBE)

Data for an optimized crystal structure of CuPd14Au.

Cell: 9.218 5.575 5.575 Å, 59.68 90.00 90.00°
Fractional positions:
Cu 0.000 0.000 0.000
Pd 0.000 0.000 0.501
Pd 0.000 0.501 0.000
Pd 0.247 0.163 0.163
Pd 0.249 0.162 0.667
Pd 0.249 0.667 0.162
Pd 0.252 0.665 0.665
Pd 0.500 0.329 0.329
Pd 0.500 0.329 0.830
Pd 0.500 0.830 0.329
Pd 0.500 0.830 0.830
Pd 0.748 0.665 0.665
Pd 0.751 0.162 0.667
Pd 0.751 0.667 0.162
Pd 0.753 0.163 0.163
Au 0.000 0.501 0.501

Summary:
As for the space-group type: No. 38. For the total DFT energy (no corrections), the calculation gives -80.13 eV per formula unit.

---

# 2
## Cu12Pd3Au (PBE)

Data for an optimized crystal structure of Cu12Pd3Au.

Cell: 3.748 3.748 14.835 Å, 90.00 90.00 90.00°
Fractional positions:
Cu 0.000 0.000 0.000
Cu 0.000 0.000 0.247
Cu 0.000 0.000 0.500
Cu 0.000 0.000 0.753
Cu 0.000 0.500 0.124
Cu 0.000 0.500 0.371
Cu 0.000 0.500 0.629
Cu 0.000 0.500 0.876
Cu 0.500 0.000 0.124
Cu 0.500 0.000 0.371
Cu 0.500 0.000 0.629
Cu 0.500 0.000 0.876
Pd 0.500 0.500 0.000
Pd 0.500 0.500 0.248
Pd 0.500 0.500 0.752
Au 0.500 0.500 0.500

Summary:
As for the space-group type: No. 123. For the total DFT energy (no corrections), the calculation gives -69.46 eV per formula unit.

---

Question: Look up the total DFT energy (no corrections) of the second one.
Answer: -69.46 eV per formula unit